(1)
VASP calculation (PBE-GGA) on LiZrIr3 after structural relaxation.

Cell lengths 4.199, 4.199, 4.199 Å; angles 90.00, 90.00, 90.00 degrees
Fractional positions:
Ir1 0.000 0.000 0.500
Zr1 0.500 0.500 0.500
Li1 0.000 0.000 0.000
Ir2 0.000 0.500 0.000
Ir3 0.500 0.000 0.000

Properties
For the magnetic moment, the calculation gives 0.000 μB per atom. Its crystal system is cubic. Its density of states at the Fermi level is 0.3729 states/eV per atom. As for the distance to the lowest polymorph of the same formula: 0.00 kJ per mole of atoms.



(2)
VASP calculation (PBE-GGA) on CoCl after structural relaxation.

Cell lengths 3.583, 5.568, 11.030 Å; angles 90.00, 90.00, 90.00 degrees
Fractional positions:
Co1 0.000 0.037 0.812
Cl1 0.000 0.820 0.000
Cl2 0.500 0.307 0.160
Cl3 0.500 0.180 0.500
Co2 0.000 0.431 0.500
Co3 0.500 0.963 0.312
Co4 0.500 0.963 0.688
Cl4 0.000 0.693 0.660
Co5 0.000 0.037 0.188
Co6 0.500 0.569 0.000
Cl5 0.500 0.307 0.840
Cl6 0.000 0.693 0.340

Properties
For the magnetic moment, the calculation gives 1.002 μB per atom. Its crystal system is orthorhombic. Its raw total energy is -4.449 eV per atom. Its density of states at the Fermi level is 0.8055 states/eV per atom.



(3)
VASP calculation (PBE-GGA) on Ge3PbF after structural relaxation.

Cell lengths 5.529, 5.529, 5.529 Å; angles 90.00, 90.00, 90.00 degrees
Fractional positions:
Ge1 0.000 0.500 0.000
Ge2 0.500 0.000 0.000
Pb1 0.000 0.000 0.000
F1 0.500 0.500 0.500
Ge3 0.000 0.000 0.500

Properties
For the magnetic moment, the calculation gives 0.000 μB per atom. Its crystal system is cubic. Its density of states at the Fermi level is 0.8233 states/eV per atom. As for the distance to the lowest polymorph of the same formula: 80.61 kJ per mole of atoms.



(4)
VASP calculation (PBE-GGA) on TbEuBiAu after structural relaxation.

Cell lengths 5.393, 5.393, 5.393 Å; angles 60.00, 60.00, 60.00 degrees
Fractional positions:
Tb1 0.750 0.750 0.750
Bi1 0.000 0.000 0.000
Au1 0.500 0.500 0.500
Eu1 0.250 0.250 0.250

Properties
For the magnetic moment, the calculation gives 1.973 μB per atom. Its crystal system is cubic. Its raw total energy is -6.227 eV per atom. Its density of states at the Fermi level is 0.8358 states/eV per atom.



(5)
VASP calculation (PBE-GGA) on La4Co after structural relaxation.

Cell lengths 9.252, 9.252, 6.790 Å; angles 47.06, 47.06, 90.00 degrees
Fractional positions:
La1 0.748 0.567 0.000
La2 0.252 0.433 0.000
La3 0.433 0.748 0.000
Co1 0.000 0.000 0.000
La4 0.567 0.252 0.000

Properties
For the magnetic moment, the calculation gives 0.000 μB per atom. Its crystal system is tetragonal. Its density of states at the Fermi level is 1.3336 states/eV per atom. As for the distance to the lowest polymorph of the same formula: 10.42 kJ per mole of atoms.



(6)
VASP calculation (PBE-GGA) on LaReRh3 after structural relaxation.

Cell lengths 4.766, 4.766, 4.766 Å; angles 90.00, 90.00, 90.00 degrees
Fractional positions:
Re1 0.500 0.500 0.500
La1 0.000 0.000 0.000
Rh1 0.000 0.500 0.000
Rh2 0.000 0.000 0.500
Rh3 0.500 0.000 0.000

Properties
For the magnetic moment, the calculation gives 0.000 μB per atom. Its crystal system is cubic. Its density of states at the Fermi level is 2.2337 states/eV per atom. As for the distance to the lowest polymorph of the same formula: 163.25 kJ per mole of atoms.



(7)
VASP calculation (PBE-GGA) on VTcSnS2 after structural relaxation.

Cell lengths 4.492, 4.956, 4.492 Å; angles 90.00, 90.00, 90.00 degrees
Fractional positions:
Tc1 0.000 0.500 0.000
Sn1 0.500 0.500 0.500
V1 0.000 0.000 0.000
S1 0.500 0.000 0.000
S2 0.000 0.000 0.500

Properties
For the magnetic moment, the calculation gives 0.411 μB per atom. Its crystal system is tetragonal. Its raw total energy is -5.992 eV per atom. Its density of states at the Fermi level is 0.4694 states/eV per atom.



(8)
VASP calculation (PBE-GGA) on Ho2ThAu3 after structural relaxation.

Cell lengths 3.568, 3.568, 11.219 Å; angles 90.00, 90.00, 90.00 degrees
Fractional positions:
Ho1 0.500 0.500 0.160
Ho2 0.500 0.500 0.840
Au1 0.000 0.000 0.000
Au2 0.000 0.000 0.315
Au3 0.000 0.000 0.685
Th1 0.500 0.500 0.500

Properties
For the magnetic moment, the calculation gives 0.000 μB per atom. Its crystal system is tetragonal. Its raw total energy is -5.166 eV per atom. Its density of states at the Fermi level is 0.8231 states/eV per atom.



(9)
VASP calculation (PBE-GGA) on TmLuTlCu after structural relaxation.

Cell lengths 5.085, 5.085, 5.085 Å; angles 60.00, 60.00, 60.00 degrees
Fractional positions:
Tl1 0.750 0.750 0.750
Cu1 0.250 0.250 0.250
Lu1 0.000 0.000 0.000
Tm1 0.500 0.500 0.500

Properties
For the magnetic moment, the calculation gives 0.000 μB per atom. Its crystal system is cubic. Its raw total energy is -4.111 eV per atom. Its density of states at the Fermi level is 0.5587 states/eV per atom.



(10)
VASP calculation (PBE-GGA) on CrMo2Rh after structural relaxation.

Cell lengths 2.707, 2.707, 7.933 Å; angles 90.00, 90.00, 90.00 degrees
Fractional positions:
Mo1 0.000 0.000 0.996
Mo2 0.000 0.000 0.504
Cr1 0.500 0.500 0.750
Rh1 0.500 0.500 0.250

Properties
For the magnetic moment, the calculation gives 0.200 μB per atom. Its crystal system is tetragonal. Its density of states at the Fermi level is 1.2721 states/eV per atom. As for the distance to the lowest polymorph of the same formula: 4.82 kJ per mole of atoms.



(11)
VASP calculation (PBE-GGA) on CaAc9Sm2 after structural relaxation.

Cell lengths 5.547, 5.547, 16.660 Å; angles 90.00, 90.00, 90.00 degrees
Fractional positions:
Ac1 0.500 0.000 0.829
Ac2 0.500 0.500 0.000
Ca1 0.000 0.000 0.000
Ac3 0.500 0.500 0.665
Sm1 0.000 0.000 0.334
Ac4 0.000 0.500 0.829
Ac5 0.500 0.000 0.500
Ac6 0.500 0.000 0.171
Ac7 0.000 0.500 0.171
Ac8 0.000 0.500 0.500
Sm2 0.000 0.000 0.666
Ac9 0.500 0.500 0.335

Properties
For the magnetic moment, the calculation gives 0.000 μB per atom. Its crystal system is tetragonal. Its raw total energy is -4.009 eV per atom. Its density of states at the Fermi level is 1.6483 states/eV per atom.



(12)
VASP calculation (PBE-GGA) on Hg2PCl after structural relaxation.

Cell lengths 4.547, 5.669, 4.546 Å; angles 89.92, 90.00, 90.00 degrees
Fractional positions:
P1 0.000 0.250 0.375
Hg1 0.500 0.425 0.375
Hg2 0.000 0.075 0.876
Cl1 0.500 0.750 0.874

Properties
For the magnetic moment, the calculation gives 0.000 μB per atom. Its crystal system is monoclinic. Its density of states at the Fermi level is 0.0096 states/eV per atom. As for the distance to the lowest polymorph of the same formula: 7.27 kJ per mole of atoms.



(13)
VASP calculation (PBE-GGA) on MgZrSCl2 after structural relaxation.

Cell lengths 5.846, 4.329, 5.846 Å; angles 90.00, 90.00, 90.00 degrees
Fractional positions:
Zr1 0.500 0.500 0.500
Cl1 0.500 0.000 0.000
S1 0.000 0.000 0.000
Mg1 0.000 0.500 0.000
Cl2 0.000 0.000 0.500

Properties
For the magnetic moment, the calculation gives 0.496 μB per atom. Its crystal system is tetragonal. Its density of states at the Fermi level is 1.2015 states/eV per atom. As for the distance to the lowest polymorph of the same formula: 126.36 kJ per mole of atoms.



(14)
VASP calculation (PBE-GGA) on BeAg2Au after structural relaxation.

Cell lengths 5.376, 5.376, 5.376 Å; angles 147.57, 131.51, 59.55 degrees
Fractional positions:
Be1 0.250 0.750 0.500
Ag1 0.043 0.043 0.000
Ag2 0.457 0.457 0.000
Au1 0.750 0.250 0.500

Properties
For the magnetic moment, the calculation gives 0.000 μB per atom. Its crystal system is orthorhombic. Its raw total energy is -3.127 eV per atom. Its density of states at the Fermi level is 0.2295 states/eV per atom.



(15)
VASP calculation (PBE-GGA) on Ta4MnSe after structural relaxation.

Cell lengths 5.485, 5.485, 5.485 Å; angles 60.00, 60.00, 60.00 degrees
Fractional positions:
Ta1 0.624 0.129 0.624
Ta2 0.624 0.624 0.129
Se1 0.000 0.000 0.000
Ta3 0.129 0.624 0.624
Mn1 0.250 0.250 0.250
Ta4 0.624 0.624 0.624

Properties
For the magnetic moment, the calculation gives 0.570 μB per atom. Its crystal system is cubic. Its raw total energy is -9.335 eV per atom. Its density of states at the Fermi level is 1.0106 states/eV per atom.



(16)
VASP calculation (PBE-GGA) on ErMgSnHg after structural relaxation.

Cell lengths 4.223, 4.611, 4.881 Å; angles 90.00, 90.00, 90.00 degrees
Fractional positions:
Mg1 0.000 0.000 0.000
Er1 0.000 0.500 0.500
Hg1 0.500 0.500 0.000
Sn1 0.500 0.000 0.500

Properties
For the magnetic moment, the calculation gives 0.000 μB per atom. Its crystal system is orthorhombic. Its density of states at the Fermi level is 0.2927 states/eV per atom. As for the distance to the lowest polymorph of the same formula: 0.00 kJ per mole of atoms.



(17)
VASP calculation (PBE-GGA) on Sm8Ho3Tm4 after structural relaxation.

Cell lengths 6.815, 9.299, 9.299 Å; angles 81.15, 113.41, 113.41 degrees
Fractional positions:
Tm1 0.000 0.000 0.000
Sm1 0.000 0.295 0.705
Tm2 0.000 0.000 0.500
Ho1 0.500 0.500 0.500
Sm2 0.234 0.703 0.703
Ho2 0.500 0.000 0.500
Sm3 0.766 0.297 0.297
Sm4 0.500 0.246 0.754
Ho3 0.500 0.500 0.000
Tm3 0.000 0.500 0.000
Tm4 0.500 0.000 0.000
Sm5 0.500 0.754 0.246
Sm6 0.000 0.705 0.295
Sm7 0.194 0.243 0.243
Sm8 0.806 0.757 0.757

Properties
For the magnetic moment, the calculation gives 0.000 μB per atom. Its crystal system is monoclinic. Its raw total energy is -4.265 eV per atom. Its density of states at the Fermi level is 1.5165 states/eV per atom.



(18)
VASP calculation (PBE-GGA) on Sc2TiAl after structural relaxation.

Cell lengths 4.265, 4.327, 4.327 Å; angles 90.00, 90.00, 90.00 degrees
Fractional positions:
Ti1 0.500 0.000 0.000
Al1 0.500 0.500 0.500
Sc1 0.000 0.000 0.500
Sc2 0.000 0.500 0.000

Properties
For the magnetic moment, the calculation gives 0.426 μB per atom. Its crystal system is tetragonal. Its raw total energy is -6.263 eV per atom. Its density of states at the Fermi level is 1.1993 states/eV per atom.



(19)
VASP calculation (PBE-GGA) on MgNpGa2Au4 after structural relaxation.

Cell lengths 4.582, 4.582, 8.947 Å; angles 75.16, 75.16, 60.00 degrees
Fractional positions:
Ga1 0.248 0.248 0.255
Au1 0.609 0.609 0.174
Ga2 0.752 0.752 0.745
Au2 0.868 0.868 0.396
Au3 0.132 0.132 0.604
Np1 0.000 0.000 0.000
Au4 0.391 0.391 0.826
Mg1 0.500 0.500 0.500

Properties
For the magnetic moment, the calculation gives 0.503 μB per atom. Its crystal system is trigonal. Its raw total energy is -4.500 eV per atom. Its density of states at the Fermi level is 1.7066 states/eV per atom.



(20)
VASP calculation (PBE-GGA) on Sm2YMn after structural relaxation.

Cell lengths 3.623, 3.623, 8.716 Å; angles 90.00, 90.00, 90.00 degrees
Fractional positions:
Mn1 0.500 0.500 0.000
Sm1 0.000 0.000 0.796
Sm2 0.000 0.000 0.204
Y1 0.500 0.500 0.500

Properties
For the magnetic moment, the calculation gives 0.994 μB per atom. Its crystal system is tetragonal. Its raw total energy is -6.110 eV per atom. Its density of states at the Fermi level is 1.5097 states/eV per atom.



(21)
VASP calculation (PBE-GGA) on Ac2OF5 after structural relaxation.

Cell lengths 4.386, 4.386, 16.522 Å; angles 90.00, 90.00, 120.00 degrees
Fractional positions:
F1 0.667 0.333 0.250
F2 0.000 0.000 0.888
F3 0.667 0.333 0.051
F4 0.000 0.000 0.612
Ac1 0.667 0.333 0.612
O1 0.333 0.667 0.250
F5 0.000 0.000 0.112
Ac2 0.333 0.667 0.112
Ac3 0.333 0.667 0.388
O2 0.667 0.333 0.750
F6 0.667 0.333 0.449
F7 0.333 0.667 0.551
F8 0.333 0.667 0.750
F9 0.000 0.000 0.388
F10 0.333 0.667 0.949
Ac4 0.667 0.333 0.888

Properties
For the magnetic moment, the calculation gives 0.125 μB per atom. Its crystal system is hexagonal. Its raw total energy is -6.351 eV per atom. Its density of states at the Fermi level is 0.1740 states/eV per atom.



(22)
VASP calculation (PBE-GGA) on CoH2Au after structural relaxation.

Cell lengths 2.773, 2.773, 5.555 Å; angles 75.55, 75.55, 60.00 degrees
Fractional positions:
H1 0.038 0.038 0.887
Au1 0.497 0.497 0.510
H2 0.296 0.296 0.112
Co1 0.670 0.670 0.991

Properties
For the magnetic moment, the calculation gives 0.145 μB per atom. Its crystal system is trigonal. Its density of states at the Fermi level is 0.9701 states/eV per atom. As for the distance to the lowest polymorph of the same formula: 1.47 kJ per mole of atoms.



(23)
VASP calculation (PBE-GGA) on TaZnOsPt after structural relaxation.

Cell lengths 4.452, 4.452, 4.452 Å; angles 60.00, 60.00, 60.00 degrees
Fractional positions:
Zn1 0.750 0.750 0.750
Os1 0.000 0.000 0.000
Pt1 0.500 0.500 0.500
Ta1 0.250 0.250 0.250

Properties
For the magnetic moment, the calculation gives 0.000 μB per atom. Its crystal system is cubic. Its raw total energy is -7.875 eV per atom. Its density of states at the Fermi level is 0.9080 states/eV per atom.



(24)
VASP calculation (PBE-GGA) on PrHoSb after structural relaxation.

Cell lengths 4.286, 11.025, 8.528 Å; angles 90.83, 104.56, 90.00 degrees
Fractional positions:
Pr1 0.965 0.636 0.931
Pr2 0.035 0.364 0.069
Ho1 0.756 0.341 0.512
Sb1 0.378 0.443 0.756
Pr3 0.401 0.141 0.802
Pr4 0.599 0.859 0.198
Sb2 0.622 0.557 0.244
Sb3 0.589 0.173 0.178
Ho2 0.195 0.084 0.390
Sb4 0.411 0.827 0.822
Ho3 0.244 0.659 0.488
Ho4 0.805 0.916 0.610

Properties
For the magnetic moment, the calculation gives 0.010 μB per atom. Its crystal system is monoclinic. Its raw total energy is -5.109 eV per atom. Its density of states at the Fermi level is 1.3200 states/eV per atom.



(25)
VASP calculation (PBE-GGA) on MgMnRe after structural relaxation.

Cell lengths 4.737, 4.737, 4.737 Å; angles 147.66, 128.40, 62.23 degrees
Fractional positions:
Re1 0.670 0.670 0.000
Mn1 0.330 0.330 0.000
Mg1 0.000 0.000 0.000

Properties
For the magnetic moment, the calculation gives 0.719 μB per atom. Its crystal system is orthorhombic. Its density of states at the Fermi level is 0.7569 states/eV per atom. As for the distance to the lowest polymorph of the same formula: 19.34 kJ per mole of atoms.



(26)
VASP calculation (PBE-GGA) on CuHgI2O after structural relaxation.

Cell lengths 6.043, 6.043, 3.534 Å; angles 90.00, 90.00, 90.00 degrees
Fractional positions:
Hg1 0.500 0.500 0.500
I1 0.000 0.500 0.000
Cu1 0.000 0.000 0.000
I2 0.500 0.000 0.000
O1 0.000 0.000 0.500

Properties
For the magnetic moment, the calculation gives 0.216 μB per atom. Its crystal system is tetragonal. Its density of states at the Fermi level is 0.7900 states/eV per atom. As for the distance to the lowest polymorph of the same formula: 0.00 kJ per mole of atoms.



(27)
VASP calculation (PBE-GGA) on ZrPa4 after structural relaxation.

Cell lengths 3.102, 5.123, 8.118 Å; angles 108.41, 90.00, 90.00 degrees
Fractional positions:
Pa1 0.500 0.204 0.409
Zr1 0.500 0.000 0.000
Pa2 0.500 0.796 0.591
Pa3 0.000 0.594 0.189
Pa4 0.000 0.406 0.811

Properties
For the magnetic moment, the calculation gives 0.000 μB per atom. Its crystal system is orthorhombic. Its density of states at the Fermi level is 2.0901 states/eV per atom. As for the distance to the lowest polymorph of the same formula: 0.00 kJ per mole of atoms.